Density functional theory data (PBE) for a relaxed TaSb2Te crystal.

Cell: 5.0868 5.0868 5.0868 Å, 119.84 119.84 90.27°
Positions (direct):
Ta (0.0000, 0.0000, 0.0000)
Sb (0.2500, 0.7500, 0.5000)
Sb (0.5000, 0.5000, 0.0000)
Te (0.7500, 0.2500, 0.5000)

Values from the calculation:
**Total energy**: -5.3374 eV per atom
**Formation energy (no corrections)**: 1.9 eV per formula unit
**Spin magnetization**: 0.000 μB/atom
**Calculated volume**: 23.3 A^3/atom
**DOS at the Fermi energy**: 1.1435 states/eV per atom

---

Density functional theory data (PBE) for a relaxed TaSb2Te crystal.

Cell: 5.2308 5.2308 6.6035 Å, 110.17 110.17 39.84°
Positions (direct):
Ta (0.0000, 0.0000, 0.0000)
Sb (0.3653, 0.3653, 0.6301)
Sb (0.5538, 0.5538, 0.3641)
Te (0.7136, 0.7136, 0.9945)

Values from the calculation:
**Total energy**: -5.7477 eV per atom
**Formation energy (no corrections)**: 0.2 eV per formula unit
**Spin magnetization**: 0.000 μB/atom
**Calculated volume**: 26.9 A^3/atom
**DOS at the Fermi energy**: 0.5791 states/eV per atom

---

Density functional theory data (PBE) for a relaxed TaSb2Te crystal.

Cell: 3.1402 3.1402 11.2735 Å, 90.00 90.00 102.51°
Positions (direct):
Ta (0.0000, 0.0000, 0.0000)
Sb (0.0000, 0.0000, 0.4868)
Sb (0.5000, 0.5000, 0.8079)
Te (0.5000, 0.5000, 0.1817)

Values from the calculation:
**Total energy**: -5.5685 eV per atom
**Formation energy (no corrections)**: 1.0 eV per formula unit
**Spin magnetization**: 0.000 μB/atom
**Calculated volume**: 27.1 A^3/atom
**DOS at the Fermi energy**: 0.4541 states/eV per atom

---

Density functional theory data (PBE) for a relaxed TaSbTe crystal.

Cell: 3.4518 3.4518 8.1032 Å, 90.00 90.00 120.00°
Positions (direct):
Ta (0.0000, 0.0000, 0.0000)
Sb (0.6667, 0.3333, 0.7354)
Te (0.3333, 0.6667, 0.2383)

Values from the calculation:
**Total energy**: -6.4678 eV per atom
**Formation energy (no corrections)**: -0.3 eV per formula unit
**Spin magnetization**: 0.000 μB/atom
**Excess energy over the best structure of this formula in the dataset**: 0.000 eV/atom
**Calculated volume**: 27.9 A^3/atom
**DOS at the Fermi energy**: 0.4675 states/eV per atom

---

Density functional theory data (PBE) for a relaxed TaSb2Te crystal.

Cell: 5.6494 5.6494 5.6494 Å, 132.84 132.84 68.90°
Positions (direct):
Ta (0.0000, 0.0000, 0.0000)
Sb (0.2500, 0.7500, 0.5000)
Sb (0.7500, 0.2500, 0.5000)
Te (0.5000, 0.5000, 0.0000)

Values from the calculation:
**Total energy**: -5.2758 eV per atom
**Formation energy (no corrections)**: 2.1 eV per formula unit
**Spin magnetization**: 0.204 μB/atom
**Calculated volume**: 23.8 A^3/atom
**DOS at the Fermi energy**: 1.0031 states/eV per atom

---

Density functional theory data (PBE) for a relaxed TaSbTe crystal.

Cell: 7.3791 7.3791 7.3791 Å, 154.01 154.01 37.08°
Positions (direct):
Ta (0.0000, 0.0000, 0.0000)
Sb (0.6429, 0.6429, 0.0000)
Te (0.3829, 0.3829, 0.0000)

Values from the calculation:
**Total energy**: -6.3676 eV per atom
**Formation energy (no corrections)**: 0.0 eV per formula unit
**Spin magnetization**: 0.000 μB/atom
**Excess energy over the best structure of this formula in the dataset**: 0.100 eV/atom
**Calculated volume**: 25.7 A^3/atom
**DOS at the Fermi energy**: 0.6017 states/eV per atom

---

Density functional theory data (PBE) for a relaxed TaSbTe4 crystal.

Cell: 6.1808 6.1808 6.1808 Å, 60.00 60.00 60.00°
Positions (direct):
Ta (0.0000, 0.0000, 0.0000)
Sb (0.2500, 0.2500, 0.2500)
Te (0.1226, 0.6258, 0.6258)
Te (0.6258, 0.1226, 0.6258)
Te (0.6258, 0.6258, 0.1226)
Te (0.6258, 0.6258, 0.6258)

Values from the calculation:
**Total energy**: -3.6776 eV per atom
**Formation energy (no corrections)**: 6.5 eV per formula unit
**Spin magnetization**: 0.321 μB/atom
**Calculated volume**: 27.8 A^3/atom
**DOS at the Fermi energy**: 0.8378 states/eV per atom

---

Density functional theory data (PBE) for a relaxed TaSb2Te crystal.

Cell: 3.5910 3.5910 7.3451 Å, 90.00 90.00 90.00°
Positions (direct):
Ta (0.0000, 0.0000, 0.0000)
Sb (0.5000, 0.5000, 0.2092)
Sb (0.5000, 0.5000, 0.7908)
Te (0.0000, 0.0000, 0.5000)

Values from the calculation:
**Total energy**: -5.6641 eV per atom
**Formation energy (no corrections)**: 0.6 eV per formula unit
**Spin magnetization**: 0.000 μB/atom
**Calculated volume**: 23.7 A^3/atom
**DOS at the Fermi energy**: 0.4564 states/eV per atom

---

Density functional theory data (PBE) for a relaxed Ta4SbTe crystal.

Cell: 5.6150 5.6150 5.6150 Å, 60.00 60.00 60.00°
Positions (direct):
Ta (0.3755, 0.3755, 0.3755)
Ta (0.3755, 0.3755, 0.8734)
Ta (0.3755, 0.8734, 0.3755)
Ta (0.8734, 0.3755, 0.3755)
Sb (0.7500, 0.7500, 0.7500)
Te (0.0000, 0.0000, 0.0000)

Values from the calculation:
**Total energy**: -8.6415 eV per atom
**Formation energy (no corrections)**: 2.8 eV per formula unit
**Spin magnetization**: 0.000 μB/atom
**Calculated volume**: 20.9 A^3/atom
**DOS at the Fermi energy**: 0.9969 states/eV per atom

---

Density functional theory data (PBE) for a relaxed TaSb2Te crystal.

Cell: 3.4969 5.0403 5.3641 Å, 90.00 90.00 90.00°
Positions (direct):
Ta (0.0000, 0.0000, 0.0000)
Sb (0.0000, 0.5000, 0.5000)
Sb (0.5000, 0.0000, 0.5000)
Te (0.5000, 0.5000, 0.0000)

Values from the calculation:
**Total energy**: -5.2880 eV per atom
**Formation energy (no corrections)**: 2.1 eV per formula unit
**Spin magnetization**: 0.000 μB/atom
**Calculated volume**: 23.6 A^3/atom
**DOS at the Fermi energy**: 1.1109 states/eV per atom

---

Density functional theory data (PBE) for a relaxed TaSbTe crystal.

Cell: 4.8391 4.8391 3.4203 Å, 90.00 90.00 120.00°
Positions (direct):
Ta (0.0000, 0.0000, 0.0000)
Sb (0.3333, 0.6667, 0.5000)
Te (0.6667, 0.3333, 0.0000)

Values from the calculation:
**Total energy**: -6.0978 eV per atom
**Formation energy (no corrections)**: 0.8 eV per formula unit
**Spin magnetization**: 0.000 μB/atom
**Excess energy over the best structure of this formula in the dataset**: 0.370 eV/atom
**Calculated volume**: 23.1 A^3/atom
**DOS at the Fermi energy**: 0.2257 states/eV per atom

---

Density functional theory data (PBE) for a relaxed TaSb2Te crystal.

Cell: 10.0013 10.0013 10.0013 Å, 19.85 19.85 19.85°
Positions (direct):
Ta (0.0000, 0.0000, 0.0000)
Sb (0.2646, 0.2646, 0.2646)
Sb (0.7354, 0.7354, 0.7354)
Te (0.5000, 0.5000, 0.5000)

Values from the calculation:
**Total energy**: -5.6358 eV per atom
**Formation energy (no corrections)**: 0.7 eV per formula unit
**Spin magnetization**: 0.000 μB/atom
**Calculated volume**: 25.2 A^3/atom
**DOS at the Fermi energy**: 0.7864 states/eV per atom

---

Which of these has the highest calculated volume? number 4

---

The lowest calculated volume belongs to which entry? Ta4SbTe

---

The lowest calculated volume belongs to which entry? Ta4SbTe

---

The lowest DOS at the Fermi energy belongs to which entry? number 11